1.
HoBeTlSe3: optimized geometry, PBE.

a b c (Å): 3.968 14.937 10.806
angles (deg): 90.00 90.00 90.00
Space group Cmcm (No. 63)
Unique sites:
Ho 0.000 0.000 0.000 (multiplicity 4)
Be 0.000 0.463 0.250 (multiplicity 4)
Tl 0.000 0.251 0.750 (multiplicity 4)
Se 0.000 0.057 0.250 (multiplicity 4)
Se 0.000 0.378 0.080 (multiplicity 8)

Raw total energy, eV per formula unit: -28.00

---

2.
HfPaAsO: optimized geometry, PBE.

a b c (Å): 4.050 4.050 9.120
angles (deg): 90.00 90.00 90.00
Space group P4/nmm (No. 129, origin choice 2)
Unique sites:
Hf 0.250 0.750 0.000 (multiplicity 2)
Pa 0.250 0.250 0.356 (multiplicity 2)
As 0.250 0.250 0.789 (multiplicity 2)
O 0.250 0.750 0.500 (multiplicity 2)

ΔE to the lowest computed polymorph, meV/atom: 4
Raw total energy, eV per formula unit: -34.53